No. 1
# ZnGa3Pb, optimized geometry, DFT PBE
# D(E_F) (states/eV/atom): 0.874
# Energy relative to the lowest polymorph listed for this composition (kJ per mole of atoms): 19.5
# Total magnetization (μB per cell): 0.000
# SG: Pm-3m
# Uncorrected energy (eV/f.u.): -12.8
# ΔH_f (0 K) (meV/atom): 252
data_ZnGa3Pb
_chemical_formula_sum 'Zn1 Ga3 Pb1'
_cell_length_a 4.932
_cell_length_b 4.932
_cell_length_c 4.932
_cell_angle_alpha 90.00
_cell_angle_beta 90.00
_cell_angle_gamma 90.00
_symmetry_space_group_name_H-M 'P 1'
_symmetry_Int_Tables_number 1
loop_
_symmetry_equiv_pos_as_xyz
'x,y,z'
loop_
_atom_site_label
_atom_site_fract_x
_atom_site_fract_y
_atom_site_fract_z
Zn1 0.000 0.000 0.000
Ga1 0.000 0.000 0.500
Ga2 0.000 0.500 0.000
Ga3 0.500 0.000 0.000
Pb1 0.500 0.500 0.500

No. 2
# Li2TlAgI4, optimized geometry, DFT PBE
# D(E_F) (states/eV/atom): 0.000
# Total magnetization (μB per cell): 0.000
# SG: I-42m
# Uncorrected energy (eV/f.u.): -21.6
# Uncorrected formation energy (eV per atom): -0.797
data_Li2TlAgI4
_chemical_formula_sum 'Li4 Tl2 Ag2 I8'
_cell_length_a 7.007
_cell_length_b 7.007
_cell_length_c 12.967
_cell_angle_alpha 90.00
_cell_angle_beta 90.00
_cell_angle_gamma 90.00
_symmetry_space_group_name_H-M 'P 1'
_symmetry_Int_Tables_number 1
loop_
_symmetry_equiv_pos_as_xyz
'x,y,z'
loop_
_atom_site_label
_atom_site_fract_x
_atom_site_fract_y
_atom_site_fract_z
Li1 0.000 0.500 0.250
Li2 0.000 0.500 0.750
Li3 0.500 0.000 0.250
Li4 0.500 0.000 0.750
Tl1 0.000 0.000 0.000
Tl2 0.500 0.500 0.500
Ag1 0.000 0.000 0.500
Ag2 0.500 0.500 0.000
I1 0.218 0.218 0.353
I2 0.218 0.782 0.647
I3 0.282 0.282 0.853
I4 0.282 0.718 0.147
I5 0.718 0.282 0.147
I6 0.718 0.718 0.853
I7 0.782 0.218 0.647
I8 0.782 0.782 0.353

No. 3
# CSe2, optimized geometry, DFT PBE
# D(E_F) (states/eV/atom): 0.543
# Energy relative to the lowest polymorph listed for this composition (kJ per mole of atoms): 131.8
# Total magnetization (μB per cell): 0.000
# SG: I4_1/amd
# Uncorrected energy (eV/f.u.): -10.4
# Uncorrected formation energy (eV per atom): 1.927
data_CSe2
_chemical_formula_sum 'C4 Se8'
_cell_length_a 3.175
_cell_length_b 3.175
_cell_length_c 20.214
_cell_angle_alpha 90.00
_cell_angle_beta 90.00
_cell_angle_gamma 90.00
_symmetry_space_group_name_H-M 'P 1'
_symmetry_Int_Tables_number 1
loop_
_symmetry_equiv_pos_as_xyz
'x,y,z'
loop_
_atom_site_label
_atom_site_fract_x
_atom_site_fract_y
_atom_site_fract_z
C1 0.000 0.250 0.375
C2 0.000 0.750 0.625
C3 0.500 0.250 0.125
C4 0.500 0.750 0.875
Se1 0.000 0.250 0.811
Se2 0.000 0.250 0.939
Se3 0.000 0.750 0.061
Se4 0.000 0.750 0.189
Se5 0.500 0.250 0.561
Se6 0.500 0.250 0.689
Se7 0.500 0.750 0.311
Se8 0.500 0.750 0.439

No. 4
# InRuPb2I, optimized geometry, DFT PBE
# D(E_F) (states/eV/atom): 0.122
# Total magnetization (μB per cell): 0.000
# SG: P4/mmm
# Uncorrected energy (eV/f.u.): -21.5
# Uncorrected formation energy (eV per atom): -0.112
data_InRuPb2I
_chemical_formula_sum 'In1 Ru1 Pb2 I1'
_cell_length_a 5.310
_cell_length_b 5.310
_cell_length_c 5.320
_cell_angle_alpha 90.00
_cell_angle_beta 90.00
_cell_angle_gamma 90.00
_symmetry_space_group_name_H-M 'P 1'
_symmetry_Int_Tables_number 1
loop_
_symmetry_equiv_pos_as_xyz
'x,y,z'
loop_
_atom_site_label
_atom_site_fract_x
_atom_site_fract_y
_atom_site_fract_z
In1 0.000 0.000 0.000
Ru1 0.000 0.000 0.500
Pb1 0.000 0.500 0.500
Pb2 0.500 0.000 0.500
I1 0.500 0.500 0.000

No. 5
# SmY2BiC, optimized geometry, DFT PBE
# D(E_F) (states/eV/atom): 0.641
# Total magnetization (μB per cell): 0.000
# SG: P4/mmm
# Uncorrected energy (eV/f.u.): -33.4
# ΔH_f (0 K) (meV/atom): -534
data_SmY2BiC
_chemical_formula_sum 'Sm1 Y2 Bi1 C1'
_cell_length_a 4.925
_cell_length_b 4.925
_cell_length_c 5.083
_cell_angle_alpha 90.00
_cell_angle_beta 90.00
_cell_angle_gamma 90.00
_symmetry_space_group_name_H-M 'P 1'
_symmetry_Int_Tables_number 1
loop_
_symmetry_equiv_pos_as_xyz
'x,y,z'
loop_
_atom_site_label
_atom_site_fract_x
_atom_site_fract_y
_atom_site_fract_z
Sm1 0.000 0.000 0.000
Y1 0.000 0.500 0.500
Y2 0.500 0.000 0.500
Bi1 0.500 0.500 0.000
C1 0.000 0.000 0.500

No. 6
# CaTl2Au, optimized geometry, DFT PBE
# D(E_F) (states/eV/atom): 0.434
# Total magnetization (μB per cell): 0.000
# SG: I-42d
# Uncorrected energy (eV/f.u.): -11.1
# ΔH_f (0 K) (meV/atom): -264
data_CaTl2Au
_chemical_formula_sum 'Ca4 Tl8 Au4'
_cell_length_a 8.596
_cell_length_b 8.596
_cell_length_c 6.183
_cell_angle_alpha 90.00
_cell_angle_beta 90.00
_cell_angle_gamma 90.00
_symmetry_space_group_name_H-M 'P 1'
_symmetry_Int_Tables_number 1
loop_
_symmetry_equiv_pos_as_xyz
'x,y,z'
loop_
_atom_site_label
_atom_site_fract_x
_atom_site_fract_y
_atom_site_fract_z
Ca1 0.000 0.000 0.000
Ca2 0.000 0.500 0.250
Ca3 0.500 0.000 0.750
Ca4 0.500 0.500 0.500
Tl1 0.205 0.750 0.625
Tl2 0.250 0.205 0.375
Tl3 0.250 0.295 0.875
Tl4 0.295 0.750 0.125
Tl5 0.705 0.250 0.125
Tl6 0.750 0.705 0.875
Tl7 0.750 0.795 0.375
Tl8 0.795 0.250 0.625
Au1 0.000 0.000 0.500
Au2 0.000 0.500 0.750
Au3 0.500 0.000 0.250
Au4 0.500 0.500 0.000

No. 7
# CdW2, optimized geometry, DFT PBE
# D(E_F) (states/eV/atom): 0.597
# Energy relative to the lowest polymorph listed for this composition (kJ per mole of atoms): 30.3
# Total magnetization (μB per cell): 0.000
# SG: I4_1/amd
# Uncorrected energy (eV/f.u.): -24.4
# ΔH_f (0 K) (meV/atom): 795
data_CdW2
_chemical_formula_sum 'Cd4 W8'
_cell_length_a 2.713
_cell_length_b 2.713
_cell_length_c 29.039
_cell_angle_alpha 90.00
_cell_angle_beta 90.00
_cell_angle_gamma 90.00
_symmetry_space_group_name_H-M 'P 1'
_symmetry_Int_Tables_number 1
loop_
_symmetry_equiv_pos_as_xyz
'x,y,z'
loop_
_atom_site_label
_atom_site_fract_x
_atom_site_fract_y
_atom_site_fract_z
Cd1 0.000 0.250 0.375
Cd2 0.000 0.750 0.625
Cd3 0.500 0.250 0.125
Cd4 0.500 0.750 0.875
W1 0.000 0.250 0.793
W2 0.000 0.250 0.957
W3 0.000 0.750 0.043
W4 0.000 0.750 0.207
W5 0.500 0.250 0.543
W6 0.500 0.250 0.707
W7 0.500 0.750 0.293
W8 0.500 0.750 0.457

No. 8
# Th2MgC, optimized geometry, DFT PBE
# D(E_F) (states/eV/atom): 1.015
# Total magnetization (μB per cell): 0.000
# SG: Cm
# Uncorrected energy (eV/f.u.): -26.2
# ΔH_f (0 K) (meV/atom): -134
data_Th2MgC
_chemical_formula_sum 'Th4 Mg2 C2'
_cell_length_a 6.274
_cell_length_b 3.631
_cell_length_c 9.188
_cell_angle_alpha 90.00
_cell_angle_beta 103.14
_cell_angle_gamma 90.00
_symmetry_space_group_name_H-M 'P 1'
_symmetry_Int_Tables_number 1
loop_
_symmetry_equiv_pos_as_xyz
'x,y,z'
loop_
_atom_site_label
_atom_site_fract_x
_atom_site_fract_y
_atom_site_fract_z
Th1 0.000 0.000 0.000
Th2 0.223 0.000 0.670
Th3 0.500 0.500 0.000
Th4 0.723 0.500 0.670
Mg1 0.278 0.500 0.334
Mg2 0.778 0.000 0.334
C1 0.111 0.500 0.834
C2 0.611 0.000 0.834

No. 9
# MgSi2Rh, optimized geometry, DFT PBE
# D(E_F) (states/eV/atom): 0.584
# Total magnetization (μB per cell): 0.000
# SG: P4/mmm
# Uncorrected energy (eV/f.u.): -20.5
# Uncorrected formation energy (eV per atom): -0.168
data_MgSi2Rh
_chemical_formula_sum 'Mg1 Si2 Rh1'
_cell_length_a 3.810
_cell_length_b 3.810
_cell_length_c 3.979
_cell_angle_alpha 90.00
_cell_angle_beta 90.00
_cell_angle_gamma 90.00
_symmetry_space_group_name_H-M 'P 1'
_symmetry_Int_Tables_number 1
loop_
_symmetry_equiv_pos_as_xyz
'x,y,z'
loop_
_atom_site_label
_atom_site_fract_x
_atom_site_fract_y
_atom_site_fract_z
Mg1 0.000 0.000 0.000
Si1 0.000 0.500 0.500
Si2 0.500 0.000 0.500
Rh1 0.500 0.500 0.000

No. 10
# Ba2LiCa, optimized geometry, DFT PBE
# D(E_F) (states/eV/atom): 1.787
# Energy relative to the lowest polymorph listed for this composition (kJ per mole of atoms): 8.9
# Total magnetization (μB per cell): 0.782
# SG: R-3m
# Uncorrected energy (eV/f.u.): -7.3
# ΔH_f (0 K) (meV/atom): 123
data_Ba2LiCa
_chemical_formula_sum 'Ba6 Li3 Ca3'
_cell_length_a 4.190
_cell_length_b 4.190
_cell_length_c 38.281
_cell_angle_alpha 90.00
_cell_angle_beta 90.00
_cell_angle_gamma 120.00
_symmetry_space_group_name_H-M 'P 1'
_symmetry_Int_Tables_number 1
loop_
_symmetry_equiv_pos_as_xyz
'x,y,z'
loop_
_atom_site_label
_atom_site_fract_x
_atom_site_fract_y
_atom_site_fract_z
Ba1 0.000 0.000 0.244
Ba2 0.000 0.000 0.756
Ba3 0.333 0.667 0.422
Ba4 0.333 0.667 0.911
Ba5 0.667 0.333 0.089
Ba6 0.667 0.333 0.578
Li1 0.000 0.000 0.500
Li2 0.333 0.667 0.167
Li3 0.667 0.333 0.833
Ca1 0.000 0.000 0.000
Ca2 0.333 0.667 0.667
Ca3 0.667 0.333 0.333

No. 11
# GaC2O, optimized geometry, DFT PBE
# D(E_F) (states/eV/atom): 0.601
# Energy relative to the lowest polymorph listed for this composition (kJ per mole of atoms): 86.1
# Total magnetization (μB per cell): 0.000
# SG: Fm-3m
# Uncorrected energy (eV/f.u.): -16.5
# Uncorrected formation energy (eV per atom): 2.493
data_GaC2O
_chemical_formula_sum 'Ga4 C8 O4'
_cell_length_a 5.342
_cell_length_b 5.342
_cell_length_c 5.342
_cell_angle_alpha 90.00
_cell_angle_beta 90.00
_cell_angle_gamma 90.00
_symmetry_space_group_name_H-M 'P 1'
_symmetry_Int_Tables_number 1
loop_
_symmetry_equiv_pos_as_xyz
'x,y,z'
loop_
_atom_site_label
_atom_site_fract_x
_atom_site_fract_y
_atom_site_fract_z
Ga1 0.000 0.000 0.000
Ga2 0.000 0.500 0.500
Ga3 0.500 0.000 0.500
Ga4 0.500 0.500 0.000
C1 0.250 0.250 0.250
C2 0.250 0.250 0.750
C3 0.250 0.750 0.250
C4 0.250 0.750 0.750
C5 0.750 0.250 0.250
C6 0.750 0.250 0.750
C7 0.750 0.750 0.250
C8 0.750 0.750 0.750
O1 0.000 0.000 0.500
O2 0.000 0.500 0.000
O3 0.500 0.000 0.000
O4 0.500 0.500 0.500

No. 12
# MgCuRuC, optimized geometry, DFT PBE
# D(E_F) (states/eV/atom): 0.538
# Energy relative to the lowest polymorph listed for this composition (kJ per mole of atoms): 15.2
# Total magnetization (μB per cell): 0.543
# SG: Amm2
# Uncorrected energy (eV/f.u.): -22.7
# ΔH_f (0 K) (meV/atom): 382
data_MgCuRuC
_chemical_formula_sum 'Mg2 Cu2 Ru2 C2'
_cell_length_a 2.986
_cell_length_b 3.950
_cell_length_c 9.063
_cell_angle_alpha 90.00
_cell_angle_beta 90.00
_cell_angle_gamma 90.00
_symmetry_space_group_name_H-M 'P 1'
_symmetry_Int_Tables_number 1
loop_
_symmetry_equiv_pos_as_xyz
'x,y,z'
loop_
_atom_site_label
_atom_site_fract_x
_atom_site_fract_y
_atom_site_fract_z
Mg1 0.000 0.000 0.000
Mg2 0.000 0.500 0.500
Cu1 0.500 0.000 0.605
Cu2 0.500 0.500 0.105
Ru1 0.500 0.000 0.317
Ru2 0.500 0.500 0.817
C1 0.500 0.000 0.811
C2 0.500 0.500 0.311

Question: Look up the total magnetization of the sixth one.
Answer: 0.000 μB per cell

Question: Among the records above, which one has the highest uncorrected energy?
Answer: Ba2LiCa

Question: Which of these has the lowest uncorrected energy?
Answer: SmY2BiC

Copy entry 2 word for word.
# Li2TlAgI4, optimized geometry, DFT PBE
# D(E_F) (states/eV/atom): 0.000
# Total magnetization (μB per cell): 0.000
# SG: I-42m
# Uncorrected energy (eV/f.u.): -21.6
# Uncorrected formation energy (eV per atom): -0.797
data_Li2TlAgI4
_chemical_formula_sum 'Li4 Tl2 Ag2 I8'
_cell_length_a 7.007
_cell_length_b 7.007
_cell_length_c 12.967
_cell_angle_alpha 90.00
_cell_angle_beta 90.00
_cell_angle_gamma 90.00
_symmetry_space_group_name_H-M 'P 1'
_symmetry_Int_Tables_number 1
loop_
_symmetry_equiv_pos_as_xyz
'x,y,z'
loop_
_atom_site_label
_atom_site_fract_x
_atom_site_fract_y
_atom_site_fract_z
Li1 0.000 0.500 0.250
Li2 0.000 0.500 0.750
Li3 0.500 0.000 0.250
Li4 0.500 0.000 0.750
Tl1 0.000 0.000 0.000
Tl2 0.500 0.500 0.500
Ag1 0.000 0.000 0.500
Ag2 0.500 0.500 0.000
I1 0.218 0.218 0.353
I2 0.218 0.782 0.647
I3 0.282 0.282 0.853
I4 0.282 0.718 0.147
I5 0.718 0.282 0.147
I6 0.718 0.718 0.853
I7 0.782 0.218 0.647
I8 0.782 0.782 0.353